Entry 1:
VASP calculation (PBE) on crystalline RbSn2Se4 at its relaxed geometry.

Unit cell a=7.765 b=20.049 c=14.528 alpha=90.00 beta=117.29 gamma=90.00
Space group P2_1/c (No. 14)
Inequivalent atoms, fractional coordinates:
Rb 0.091 0.198 0.420
Rb 0.162 0.559 0.421
Sn 0.055 0.124 0.694
Sn 0.355 0.536 0.175
Sn 0.378 0.179 0.212
Sn 0.394 0.639 0.757
Se 0.026 0.521 0.164
Se 0.031 0.623 0.642
Se 0.045 0.216 0.168
Se 0.385 0.650 0.096
Se 0.386 0.062 0.135
Se 0.429 0.134 0.853
Se 0.438 0.748 0.863
Se 0.460 0.057 0.588

Computed properties:
The value obtained for the density is 4.22 g/cm³. For the total energy, the calculation gives -3.8880 eV per atom. The calculation puts the energy above the most stable polymorph in this dataset at 0 kJ/mol of formula units.

***

Entry 2:
VASP calculation (PBE) on crystalline RbSn2Se at its relaxed geometry.

Unit cell a=5.027 b=5.027 c=21.963 alpha=90.00 beta=90.00 gamma=90.00
Space group I-42d (No. 122)
Inequivalent atoms, fractional coordinates:
Rb 0.000 0.000 0.000
Sn 0.149 0.250 0.625
Se 0.000 0.000 0.500

Computed properties:
The value obtained for the density is 4.81 g/cm³. For the total energy, the calculation gives -3.3913 eV per atom.

***

Entry 3:
VASP calculation (PBE) on crystalline Rb3Sn2Se4 at its relaxed geometry.

Unit cell a=14.514 b=5.499 c=10.042 alpha=90.00 beta=119.54 gamma=90.00
Space group C2/m (No. 12)
Inequivalent atoms, fractional coordinates:
Rb 0.000 0.000 0.000
Rb 0.148 0.500 0.746
Sn 0.168 0.500 0.360
Se 0.126 0.000 0.405
Se 0.186 0.500 0.118

Computed properties:
The value obtained for the density is 3.86 g/cm³. For the total energy, the calculation gives -3.5852 eV per atom. The calculation puts the energy above the most stable polymorph in this dataset at 0 kJ/mol of formula units.

***

Entry 4:
VASP calculation (PBE) on crystalline Rb8SnSe6 at its relaxed geometry.

Unit cell a=10.425 b=9.257 c=13.104 alpha=90.00 beta=90.00 gamma=90.00
Space group Pmn2_1 (No. 31)
Inequivalent atoms, fractional coordinates:
Rb 0.000 0.147 0.000
Rb 0.000 0.178 0.512
Rb 0.174 0.512 0.153
Rb 0.182 0.679 0.856
Rb 0.197 0.935 0.236
Sn 0.000 0.684 0.549
Se 0.000 0.228 0.261
Se 0.000 0.465 0.675
Se 0.000 0.788 0.054
Se 0.000 0.899 0.677
Se 0.204 0.678 0.439

Computed properties:
The value obtained for the density is 3.35 g/cm³. For the total energy, the calculation gives -3.1661 eV per atom.

***

Entry 5:
VASP calculation (PBE) on crystalline Rb2Sn2Se5 at its relaxed geometry.

Unit cell a=14.399 b=5.589 c=8.480 alpha=90.00 beta=101.80 gamma=90.00
Space group C2/m (No. 12)
Inequivalent atoms, fractional coordinates:
Rb 0.097 0.000 0.321
Sn 0.156 0.500 0.874
Se 0.000 0.500 0.000
Se 0.142 0.500 0.579
Se 0.173 0.000 0.948

Computed properties:
The value obtained for the density is 3.99 g/cm³. For the total energy, the calculation gives -3.6133 eV per atom.

***

Entry 6:
VASP calculation (PBE) on crystalline Rb2Sn2Se5 at its relaxed geometry.

Unit cell a=23.161 b=9.185 c=6.936 alpha=90.00 beta=101.80 gamma=90.00
Space group Cc (No. 9)
Inequivalent atoms, fractional coordinates:
Rb 0.000 0.136 0.000
Rb 0.266 0.188 0.166
Sn 0.140 0.367 0.497
Sn 0.437 0.152 0.964
Se 0.043 0.236 0.544
Se 0.129 0.367 0.111
Se 0.227 0.219 0.639
Se 0.389 0.371 0.064
Se 0.404 0.099 0.584

Computed properties:
The value obtained for the density is 3.69 g/cm³. For the total energy, the calculation gives -3.7176 eV per atom.

***

Entry 7:
VASP calculation (PBE) on crystalline Rb4SnSe4 at its relaxed geometry.

Unit cell a=9.714 b=9.714 c=7.618 alpha=90.00 beta=90.00 gamma=90.00
Space group P4_2/nmc (No. 137, origin choice 2)
Inequivalent atoms, fractional coordinates:
Rb 0.021 0.250 0.098
Sn 0.250 0.750 0.250
Se 0.033 0.750 0.442

Computed properties:
The value obtained for the density is 3.59 g/cm³. For the total energy, the calculation gives -3.4445 eV per atom.

***

Entry 8:
VASP calculation (PBE) on crystalline RbSnSe4 at its relaxed geometry.

Unit cell a=8.246 b=14.857 c=6.853 alpha=90.00 beta=90.03 gamma=90.00
Space group C2/c (No. 15)
Inequivalent atoms, fractional coordinates:
Rb 0.000 0.121 0.250
Sn 0.000 0.451 0.750
Se 0.113 0.271 0.859
Se 0.193 0.437 0.441

Computed properties:
The value obtained for the density is 4.11 g/cm³. For the total energy, the calculation gives -3.5079 eV per atom.

***

Entry 9:
VASP calculation (PBE) on crystalline RbSn6Se8 at its relaxed geometry.

Unit cell a=11.1056 b=11.1056 c=4.2453 alpha=90.00 beta=90.00 gamma=120.00
Space group P-3 (No. 147)
Inequivalent atoms, fractional coordinates:
Rb 0.0000 0.0000 0.0000
Sn 0.1390 0.6624 0.2493
Se 0.0341 0.3464 0.2504
Se 0.3333 0.6667 0.7500

Computed properties:
The value obtained for the density is 5.23 g/cm³. For the total energy, the calculation gives -4.0035 eV per atom.

***

Entry 10:
VASP calculation (PBE) on crystalline Rb2SnSe3 at its relaxed geometry.

Unit cell a=7.520 b=15.158 c=16.804 alpha=90.00 beta=92.37 gamma=90.00
Space group C2/c (No. 15)
Inequivalent atoms, fractional coordinates:
Rb 0.225 0.205 0.348
Rb 0.249 0.101 0.932
Sn 0.231 0.497 0.841
Se 0.000 0.040 0.250
Se 0.000 0.413 0.250
Se 0.179 0.336 0.867
Se 0.226 0.100 0.544

Computed properties:
The value obtained for the density is 3.65 g/cm³. For the total energy, the calculation gives -3.6040 eV per atom.

***

Entry 11:
VASP calculation (PBE) on crystalline RbSn5Se7 at its relaxed geometry.

Unit cell a=13.900 b=4.175 c=26.131 alpha=90.00 beta=90.02 gamma=90.00
Space group C2/m (No. 12)
Inequivalent atoms, fractional coordinates:
Rb 0.205 0.000 0.250
Sn 0.000 0.000 0.000
Sn 0.000 0.000 0.500
Sn 0.043 0.500 0.652
Sn 0.043 0.500 0.848
Sn 0.228 0.500 0.071
Sn 0.228 0.500 0.429
Se 0.014 0.500 0.250
Se 0.103 0.000 0.101
Se 0.103 0.000 0.399
Se 0.134 0.500 0.534
Se 0.134 0.500 0.965
Se 0.176 0.000 0.663
Se 0.176 0.000 0.837

Computed properties:
The value obtained for the density is 5.39 g/cm³. For the total energy, the calculation gives -4.0070 eV per atom.

***

Entry 12:
VASP calculation (PBE) on crystalline Rb2SnSe3 at its relaxed geometry.

Unit cell a=13.280 b=8.966 c=7.516 alpha=90.00 beta=100.28 gamma=90.00
Space group C2/c (No. 15)
Inequivalent atoms, fractional coordinates:
Rb 0.158 0.160 0.178
Sn 0.000 0.416 0.750
Se 0.000 0.135 0.750
Se 0.134 0.452 0.488

Computed properties:
The value obtained for the density is 3.97 g/cm³. For the total energy, the calculation gives -3.6023 eV per atom.

***

Energy relative to the elements, uncorrected values, unit eV/atom, following the record order: -0.61; -0.28; -0.82; -0.99; -0.57; -0.68; -1.02; -0.36; -0.48; -0.87; -0.52; -0.87.